No. 1
# Tc2Ru2Rh | Alexandria | GGA-PBE | optimized geometry
# Formation energy from the elements   0.190 eV/atom
# Symmetry   P4/mbm
data_Tc2Ru2Rh
_cell_length_a 7.313
_cell_length_b 7.313
_cell_length_c 2.787
_cell_angle_alpha 90.00
_cell_angle_beta 90.00
_cell_angle_gamma 90.00
_symmetry_space_group_name_H-M 'P 1'
_symmetry_Int_Tables_number 1
loop_
_symmetry_equiv_pos_as_xyz
'x,y,z'
loop_
_atom_site_label
_atom_site_fract_x
_atom_site_fract_y
_atom_site_fract_z
_atom_site_occupancy
Ru1 0.874 0.626 0.000 1
Ru2 0.126 0.374 0.000 1
Ru3 0.374 0.874 0.000 1
Ru4 0.626 0.126 0.000 1
Rh1 0.000 0.000 0.000 1
Rh2 0.500 0.500 0.000 1
Tc1 0.170 0.670 0.500 1
Tc2 0.330 0.170 0.500 1
Tc3 0.830 0.330 0.500 1
Tc4 0.670 0.830 0.500 1

---

No. 2
# BaTl2CdIr | Alexandria | GGA-PBE | optimized geometry
# Formation energy from the elements   -0.133 eV/atom
# Symmetry   P4/mmm
data_BaTl2CdIr
_cell_length_a 5.308
_cell_length_b 5.308
_cell_length_c 5.334
_cell_angle_alpha 90.00
_cell_angle_beta 90.00
_cell_angle_gamma 90.00
_symmetry_space_group_name_H-M 'P 1'
_symmetry_Int_Tables_number 1
loop_
_symmetry_equiv_pos_as_xyz
'x,y,z'
loop_
_atom_site_label
_atom_site_fract_x
_atom_site_fract_y
_atom_site_fract_z
_atom_site_occupancy
Tl1 0.000 0.500 0.000 1
Tl2 0.500 0.000 0.000 1
Cd1 0.000 0.000 0.500 1
Ir1 0.000 0.000 0.000 1
Ba1 0.500 0.500 0.500 1

---

No. 3
# HfCoP2I | Alexandria | GGA-PBE | optimized geometry
# Formation energy from raw total energies   4.2 eV per formula unit
# Symmetry   P4/mmm
data_HfCoP2I
_cell_length_a 4.935
_cell_length_b 5.295
_cell_length_c 4.935
_cell_angle_alpha 90.00
_cell_angle_beta 90.00
_cell_angle_gamma 90.00
_symmetry_space_group_name_H-M 'P 1'
_symmetry_Int_Tables_number 1
loop_
_symmetry_equiv_pos_as_xyz
'x,y,z'
loop_
_atom_site_label
_atom_site_fract_x
_atom_site_fract_y
_atom_site_fract_z
_atom_site_occupancy
P1 0.500 0.000 0.000 1
P2 0.000 0.000 0.500 1
Co1 0.000 0.500 0.000 1
Hf1 0.000 0.000 0.000 1
I1 0.500 0.500 0.500 1

---

No. 4
# CuAg2Br | Alexandria | GGA-PBE | optimized geometry
# Formation energy from raw total energies   1.5 eV per formula unit
# Symmetry   I-42d
data_CuAg2Br
_cell_length_a 7.216
_cell_length_b 7.216
_cell_length_c 6.133
_cell_angle_alpha 53.97
_cell_angle_beta 53.97
_cell_angle_gamma 90.00
_symmetry_space_group_name_H-M 'P 1'
_symmetry_Int_Tables_number 1
loop_
_symmetry_equiv_pos_as_xyz
'x,y,z'
loop_
_atom_site_label
_atom_site_fract_x
_atom_site_fract_y
_atom_site_fract_z
_atom_site_occupancy
Br1 0.000 0.000 0.000 1
Br2 0.750 0.250 0.500 1
Ag1 0.148 0.625 0.250 1
Ag2 0.602 0.125 0.250 1
Ag3 0.375 0.398 0.750 1
Ag4 0.875 0.852 0.750 1
Cu1 0.500 0.500 0.000 1
Cu2 0.250 0.750 0.500 1

---

Number 1: calculated total energy -91.4 eV/cell, total magnetic moment 0.000 μB/f.u., calculated density 11.16 g cm⁻³. Number 2: calculated total energy -17.1 eV/cell, total magnetic moment 0.000 μB/f.u., calculated density 9.40 g cm⁻³. Number 3: calculated total energy -25.2 eV/cell, total magnetic moment 2.385 μB/f.u., calculated density 5.49 g cm⁻³. Number 4: calculated total energy -20.0 eV/cell, total magnetic moment 0.000 μB/f.u., calculated density 6.73 g cm⁻³.